No. 1
VASP calculation (PBE) on crystalline PmTlCd at its relaxed geometry.

Output
**E above lowest polymorph**: 0 meV/atom
**ΔH_f (0 K)**: -0.3219 eV per atom

a = 6.2612 Å, b = 6.2612 Å, c = 6.2612 Å
α = 133.03°, β = 106.59°, γ = 91.84°
Closest atoms and distances in Å follow each position.
Positions (direct):
Pm1 0.0000 0.0000 0.0000  6 Cd 3.31-3.59, 6 Tl 3.35-3.56
Pm2 0.5074 0.0074 0.5000  6 Cd 3.31-3.61, 6 Tl 3.35-3.54
Tl1 0.0671 0.3370 0.7301  3 Cd 2.91-2.93
Tl2 0.6068 0.3370 0.2699  3 Cd 2.91-2.93
Cd1 0.3818 0.6729 0.7089  3 Tl 2.91-2.93, 1 Cd 3.13
Cd2 0.9641 0.6729 0.2911  3 Tl 2.91-2.93, 1 Cd 3.13



No. 2
VASP calculation (PBE) on crystalline Pm8TlCd2 at its relaxed geometry.

Output
**ΔH_f (0 K)**: -0.1773 eV per atom

a = 8.7973 Å, b = 8.7973 Å, c = 8.7772 Å
α = 119.35°, β = 119.35°, γ = 36.25°
Closest atoms and distances in Å follow each position.
Positions (direct):
Pm1 0.0696 0.0696 0.2202  1 Cd 3.20, 3 Pm 3.33-3.34
Pm2 0.1390 0.1390 0.6890  3 Cd 3.24-3.39, 2 Tl 3.42
Pm3 0.3184 0.3184 0.5499  1 Tl 3.28, 1 Cd 3.30, 5 Pm 3.34-3.64
Pm4 0.4079 0.4079 0.0494  3 Cd 3.36-3.37, 1 Tl 3.43, 5 Pm 3.59-3.76
Pm5 0.5921 0.5921 0.9506  3 Cd 3.36-3.37, 1 Tl 3.43, 5 Pm 3.59-3.76
Pm6 0.6816 0.6816 0.4501  1 Tl 3.28, 1 Cd 3.30, 5 Pm 3.34-3.64
Pm7 0.8610 0.8610 0.3110  3 Cd 3.24-3.39, 2 Tl 3.42
Pm8 0.9304 0.9304 0.7798  1 Cd 3.20, 3 Pm 3.33-3.34
Tl1 0.5000 0.5000 0.5000  8 Pm 3.28-3.43
Cd1 0.2266 0.2266 0.1154  8 Pm 3.20-3.39
Cd2 0.7734 0.7734 0.8846  8 Pm 3.20-3.39



No. 3
VASP calculation (PBE) on crystalline Pm6Tl5Cd at its relaxed geometry.

Output
**E above lowest polymorph**: 0 meV/atom
**ΔH_f (0 K)**: -0.3797 eV per atom

a = 9.4881 Å, b = 9.4881 Å, c = 5.4824 Å
α = 106.77°, β = 106.77°, γ = 120.08°
Closest atoms and distances in Å follow each position.
Positions (direct):
Pm1 0.0827 0.4161 0.7493  1 Cd 3.35, 7 Tl 3.35-3.40
Pm2 0.2490 0.2490 0.2489  6 Tl 3.30-3.36, 2 Cd 3.35
Pm3 0.4161 0.0827 0.7493  1 Cd 3.35, 7 Tl 3.35-3.40
Pm4 0.5839 0.9173 0.2507  1 Cd 3.35, 7 Tl 3.35-3.40
Pm5 0.7510 0.7510 0.7511  6 Tl 3.30-3.36, 2 Cd 3.35
Pm6 0.9173 0.5839 0.2507  1 Cd 3.35, 7 Tl 3.35-3.40
Tl1 0.1631 0.8369 0.0000  8 Pm 3.30-3.40
Tl2 0.3338 0.6662 0.5000  8 Pm 3.35-3.36
Tl3 0.5000 0.5000 0.0000  8 Pm 3.36
Tl4 0.6662 0.3338 0.5000  8 Pm 3.35-3.36
Tl5 0.8369 0.1631 0.0000  8 Pm 3.30-3.40
Cd1 0.0000 0.0000 0.5000  8 Pm 3.35



Question: Which of these has the highest ΔH_f (0 K)?
Answer: Pm8TlCd2